No. 1
An optimized crystal structure of PaAgBi2O6, computed with PBE-GGA.

Properties
E: -6.85 eV/atom
Total moment: 0.000 μB per atom
Space-group type: P2_1/c (14)
D(E_F): 0.00 states/eV/f.u.

Cell: 6.0150 5.5382 11.8881 Å, 90.00 119.38 90.00°
With the nearest neighbours (Å) after each atom.
Fractional positions:
Pa  0.0000  0.0000  0.0000  6 O 2.16-2.24
Pa  0.0000  0.5000  0.5000  6 O 2.16-2.24
Ag  0.5000  0.0000  0.5000  2 O 2.16
Ag  0.5000  0.5000  0.0000  2 O 2.16
Bi  0.2945  0.0164  0.7886  3 O 2.15-2.32
Bi  0.2945  0.4836  0.2886  3 O 2.15-2.32
Bi  0.7055  0.5164  0.7114  3 O 2.15-2.32
Bi  0.7055  0.9836  0.2114  3 O 2.15-2.32
O  0.0490  0.6818  0.3452  1 Bi 2.19, 1 Pa 2.24
O  0.0490  0.8182  0.8452  1 Bi 2.19, 1 Pa 2.24
O  0.2455  0.7421  0.1436  1 Bi 2.15, 1 Pa 2.16
O  0.2455  0.7579  0.6436  1 Bi 2.15, 1 Pa 2.16
O  0.3555  0.1926  0.0564  1 Ag 2.16, 1 Pa 2.18, 1 Bi 2.32
O  0.3555  0.3074  0.5564  1 Ag 2.16, 1 Pa 2.18, 1 Bi 2.32
O  0.6445  0.6926  0.4436  1 Ag 2.16, 1 Pa 2.18, 1 Bi 2.32
O  0.6445  0.8074  0.9436  1 Ag 2.16, 1 Pa 2.18, 1 Bi 2.32
O  0.7545  0.2421  0.3564  1 Bi 2.15, 1 Pa 2.16
O  0.7545  0.2579  0.8564  1 Bi 2.15, 1 Pa 2.16
O  0.9510  0.1818  0.1548  1 Bi 2.19, 1 Pa 2.24
O  0.9510  0.3182  0.6548  1 Bi 2.19, 1 Pa 2.24


No. 2
An optimized crystal structure of PaAgBiO5, computed with PBE-GGA.

Properties
E: -6.99 eV/atom
Total moment: 0.000 μB per atom
Space-group type: C2/c (15)
D(E_F): 4.21 states/eV/f.u.

Cell: 6.2288 6.2288 8.5115 Å, 108.96 108.96 93.59°
With the nearest neighbours (Å) after each atom.
Fractional positions:
Pa  0.0000  0.5000  0.0000  6 O 2.18-2.20
Pa  0.5000  0.0000  0.5000  6 O 2.18-2.20
Ag  0.0234  0.9766  0.7500  5 O 2.23-2.43
Ag  0.9766  0.0234  0.2500  5 O 2.23-2.43
Bi  0.4067  0.5933  0.7500  4 O 2.12-2.36
Bi  0.5933  0.4067  0.2500  4 O 2.12-2.36
O  0.1356  0.6605  0.8476  1 Bi 2.12, 1 Pa 2.20
O  0.2382  0.7618  0.2500  2 Pa 2.19, 1 Ag 2.38
O  0.2528  0.2727  0.9931  1 Pa 2.18, 1 Ag 2.23, 1 Bi 2.36
O  0.2727  0.2528  0.4931  1 Pa 2.18, 1 Ag 2.23, 1 Bi 2.36
O  0.3395  0.8644  0.6524  1 Bi 2.12, 1 Pa 2.20
O  0.6605  0.1356  0.3476  1 Bi 2.12, 1 Pa 2.20
O  0.7273  0.7472  0.5069  1 Pa 2.18, 1 Ag 2.23, 1 Bi 2.36
O  0.7472  0.7273  0.0069  1 Pa 2.18, 1 Ag 2.23, 1 Bi 2.36
O  0.7618  0.2382  0.7500  2 Pa 2.19, 1 Ag 2.38
O  0.8644  0.3395  0.1524  1 Bi 2.12, 1 Pa 2.20